No. 1
La2Pm7PrTl2 after structural relaxation. Source: Alexandria via LeMat-Bulk, functional PBE.

Results
E_tot, eV/atom: -4.4123
Crystal system: orthorhombic
Spin magnetization, μB/cell: 0.00
Mass density, g/cm³: 7.47

a = 6.224 Å, b = 6.224 Å, c = 15.297 Å
α = 56.37°, β = 56.37°, γ = 68.81°
Fractional positions:
La (0.851, 0.851, 0.649)
La (0.149, 0.149, 0.351)
Pm (0.500, 0.500, 0.000)
Pm (0.311, 0.311, 0.500)
Pm (0.689, 0.689, 0.500)
Pm (0.829, 0.329, 0.171)
Pm (0.329, 0.829, 0.171)
Pm (0.671, 0.171, 0.829)
Pm (0.171, 0.671, 0.829)
Pr (0.000, 0.000, 0.000)
Tl (0.721, 0.721, 0.279)
Tl (0.279, 0.279, 0.721)

***

No. 2
La2Pm3Pr6Tm after structural relaxation. Source: Alexandria via LeMat-Bulk, functional PBE.

Results
E_tot, eV/atom: -4.7556
Crystal system: monoclinic
Spin magnetization, μB/cell: 0.00
Mass density, g/cm³: 6.74

a = 6.391 Å, b = 6.391 Å, c = 12.221 Å
α = 95.05°, β = 95.05°, γ = 120.00°
Fractional positions:
La (0.333, 0.667, 0.000)
La (0.667, 0.333, 0.000)
Pm (0.166, 0.834, 0.500)
Pm (0.834, 0.166, 0.500)
Pm (0.500, 0.500, 0.500)
Pr (0.916, 0.585, 0.749)
Pr (0.752, 0.752, 0.251)
Pr (0.084, 0.415, 0.251)
Pr (0.585, 0.916, 0.749)
Pr (0.248, 0.248, 0.749)
Pr (0.415, 0.084, 0.251)
Tm (0.000, 0.000, 0.000)

***

No. 3
La3PmPr6Tm2 after structural relaxation. Source: Alexandria via LeMat-Bulk, functional PBE.

Results
E_tot, eV/atom: -4.7435
Crystal system: monoclinic
Spin magnetization, μB/cell: 0.00
Mass density, g/cm³: 6.85

a = 6.383 Å, b = 6.383 Å, c = 12.171 Å
α = 95.01°, β = 95.01°, γ = 120.03°
Fractional positions:
La (0.167, 0.833, 0.500)
La (0.833, 0.167, 0.500)
La (0.500, 0.500, 0.500)
Pm (0.000, 0.000, 0.000)
Pr (0.919, 0.584, 0.756)
Pr (0.747, 0.747, 0.244)
Pr (0.081, 0.416, 0.244)
Pr (0.584, 0.919, 0.756)
Pr (0.253, 0.253, 0.756)
Pr (0.416, 0.081, 0.244)
Tm (0.333, 0.667, 0.000)
Tm (0.667, 0.333, 0.000)

***

No. 4
La4Pm2PrTm after structural relaxation. Source: Alexandria via LeMat-Bulk, functional PBE.

Results
E_tot, eV/atom: -4.7176
Crystal system: orthorhombic
Spin magnetization, μB/cell: 0.00
Mass density, g/cm³: 6.77

a = 6.079 Å, b = 6.079 Å, c = 9.785 Å
α = 51.59°, β = 90.00°, γ = 90.00°
Fractional positions:
La (0.000, 0.760, 0.740)
La (0.000, 0.240, 0.260)
La (0.500, 0.738, 0.262)
La (0.500, 0.262, 0.738)
Pm (0.000, 0.000, 0.000)
Pm (0.500, 0.000, 0.500)
Pr (0.500, 0.500, 0.000)
Tm (0.000, 0.500, 0.500)

***

No. 5
LaPmPr2Tm4 after structural relaxation. Source: Alexandria via LeMat-Bulk, functional PBE.

Results
E_tot, eV/atom: -4.6185
Crystal system: triclinic
Spin magnetization, μB/cell: 0.00
Mass density, g/cm³: 7.83

a = 12.286 Å, b = 7.310 Å, c = 12.294 Å
α = 126.49°, β = 130.28°, γ = 90.06°
Fractional positions:
La (0.500, 0.500, 0.500)
La (0.000, 0.000, 0.000)
Pm (0.000, 0.500, 0.000)
Pm (0.000, 0.500, 0.500)
Pr (0.500, 0.000, 0.000)
Pr (0.500, 0.000, 0.500)
Pr (0.000, 0.000, 0.500)
Pr (0.500, 0.500, 0.000)
Tm (0.249, 0.747, 0.998)
Tm (0.751, 0.249, 0.500)
Tm (0.249, 0.751, 0.500)
Tm (0.751, 0.253, 0.002)
Tm (0.751, 0.751, 0.002)
Tm (0.751, 0.751, 0.500)
Tm (0.249, 0.249, 0.500)
Tm (0.249, 0.249, 0.998)

***

No. 6
La6PmPrTm2 after structural relaxation. Source: Alexandria via LeMat-Bulk, functional PBE.

Results
E_tot, eV/atom: -4.6194
Crystal system: monoclinic
Spin magnetization, μB/cell: 0.00
Mass density, g/cm³: 6.74

a = 8.937 Å, b = 7.268 Å, c = 6.733 Å
α = 122.67°, β = 100.64°, γ = 90.00°
Fractional positions:
La (0.444, 0.643, 0.285)
La (0.197, 0.042, 0.644)
La (0.803, 0.398, 0.356)
La (0.197, 0.602, 0.644)
La (0.803, 0.958, 0.356)
La (0.556, 0.357, 0.715)
Pm (0.500, 0.000, 0.000)
Pr (0.000, 0.500, 0.000)
Tm (0.160, 0.093, 0.185)
Tm (0.840, 0.907, 0.815)